Computed, not measured: a relaxed Cs3SrV2F9 crystal at the PBE with a Hubbard U level of DFT.

a b c (Å): 6.353 6.353 7.815
angles (deg): 90.00 90.00 120.00
Site moments in Bohr magnetons follow the coordinates.
Positions (direct):
Cs (0.333, 0.667, 0.675)  0.00
Cs (0.000, 0.000, 0.000)  0.00
Cs (0.667, 0.333, 0.325)  0.00
Sr (0.000, 0.000, 0.500)  0.00
V (0.333, 0.667, 0.155)  2.75
V (0.667, 0.333, 0.845)  2.75
F (0.823, 0.177, 0.683)  0.00
F (0.823, 0.646, 0.683)  0.00
F (0.354, 0.177, 0.683)  0.00
F (0.646, 0.823, 0.317)  0.00
F (0.177, 0.354, 0.317)  0.00
F (0.177, 0.823, 0.317)  0.00
F (0.500, 0.000, 0.000)  0.01
F (0.000, 0.500, 0.000)  0.01
F (0.500, 0.500, 0.000)  0.01

Summary:
Uncorrected energy = -5.37 eV per atom
Crystal system = trigonal
Size of the total moment = 6.00 μB/f.u.